No. 1
Material: NaPmPb2S4
Method: DFT, GGA-PBE
State: relaxed

Unit cell a=7.1290 b=4.1596 c=7.2550 alpha=90.00 beta=108.59 gamma=90.00
Space group P2/m (No. 10)
Asymmetric unit:
Na 0.0000 0.0000 0.0000 [1 per cell]
Pm 0.5000 0.5000 0.0000 [1 per cell]
Pb 0.0000 0.5000 0.5000 [1 per cell]
Pb 0.5000 0.0000 0.5000 [1 per cell]
S 0.2565 0.5000 0.2390 [2 per cell]
S 0.2619 0.0000 0.7682 [2 per cell]

Output
D(E_F), states/eV per atom: 0.000
Raw total energy, eV per atom: -4.88

No. 2
Material: NaPm2Pb3S6
Method: DFT, GGA-PBE
State: relaxed

Unit cell a=18.1995 b=4.2235 c=8.3027 alpha=90.00 beta=103.99 gamma=90.00
Space group C2/m (No. 12)
Asymmetric unit:
Na 0.0000 0.0000 0.0000 [2 per cell]
Pm 0.1656 0.5000 0.3292 [4 per cell]
Pb 0.0000 0.0000 0.5000 [2 per cell]
Pb 0.1587 0.5000 0.8516 [4 per cell]
S 0.0084 0.5000 0.2503 [4 per cell]
S 0.1711 0.0000 0.0964 [4 per cell]
S 0.1714 0.0000 0.5692 [4 per cell]

Output
D(E_F), states/eV per atom: 0.287
Raw total energy, eV per atom: -5.04

No. 3
Material: NaPmSbPb
Method: DFT, GGA-PBE
State: relaxed

Unit cell a=7.7255 b=7.7255 c=7.7255 alpha=90.00 beta=90.00 gamma=90.00
Space group F-43m (No. 216)
Asymmetric unit:
Na 0.0000 0.0000 0.0000 [4 per cell]
Pm 0.0000 0.0000 0.5000 [4 per cell]
Sb 0.2500 0.2500 0.2500 [4 per cell]
Pb 0.2500 0.2500 0.7500 [4 per cell]

Output
D(E_F), states/eV per atom: 0.898
Raw total energy, eV per atom: -3.85

No. 4
Material: NaPmScPb
Method: DFT, GGA-PBE
State: relaxed

Unit cell a=7.5399 b=7.5399 c=7.5399 alpha=90.00 beta=90.00 gamma=90.00
Space group F-43m (No. 216)
Asymmetric unit:
Na 0.0000 0.0000 0.0000 [4 per cell]
Pm 0.2500 0.2500 0.2500 [4 per cell]
Sc 0.2500 0.2500 0.7500 [4 per cell]
Pb 0.0000 0.0000 0.5000 [4 per cell]

Output
D(E_F), states/eV per atom: 0.952
ΔH_f (0 K), kJ/mol of formula units: -47
Raw total energy, eV per atom: -4.15

No. 5
Material: NaPm2Pb3Se6
Method: DFT, GGA-PBE
State: relaxed

Unit cell a=18.8692 b=4.3859 c=8.5955 alpha=90.00 beta=103.51 gamma=90.00
Space group C2/m (No. 12)
Asymmetric unit:
Na 0.0000 0.0000 0.0000 [2 per cell]
Pm 0.1655 0.5000 0.3307 [4 per cell]
Pb 0.0000 0.0000 0.5000 [2 per cell]
Pb 0.1593 0.5000 0.8494 [4 per cell]
Se 0.0076 0.5000 0.2502 [4 per cell]
Se 0.1706 0.0000 0.5736 [4 per cell]
Se 0.1716 0.0000 0.0962 [4 per cell]

Output
D(E_F), states/eV per atom: 0.292
Raw total energy, eV per atom: -4.66

No. 6
Material: NaPm2PbSe4
Method: DFT, GGA-PBE
State: relaxed

Unit cell a=8.5401 b=8.6239 c=12.0762 alpha=90.00 beta=90.00 gamma=90.00
Space group Imma (No. 74)
Asymmetric unit:
Na 0.2500 0.2500 0.2500 [4 per cell]
Pm 0.0000 0.0000 0.0000 [4 per cell]
Pm 0.2500 0.2500 0.7500 [4 per cell]
Pb 0.0000 0.0000 0.5000 [4 per cell]
Se 0.0000 0.0078 0.7549 [8 per cell]
Se 0.2415 0.2500 0.9987 [8 per cell]

Output
D(E_F), states/eV per atom: 0.443
Raw total energy, eV per atom: -4.96